The following is a PBE calculation of crystalline TcPbCl3 at its relaxed geometry, from Alexandria via LeMat-Bulk.

Cell lengths 4.915, 4.915, 4.915 Å; angles 90.00, 90.00, 90.00 degrees
Last column: magnetic moment on the atom in μB.
Fractional positions:
Cl: 0.000 0.000 0.500  0.02
Cl: 0.500 0.000 0.000  0.05
Cl: 0.000 0.500 0.000  0.02
Tc: 0.000 0.000 0.000  2.05
Pb: 0.500 0.500 0.500  -0.15

## Properties
The total energy is -4.038 eV per atom. The total magnetization is 2.01 μB/f.u. The symmetry is Pm-3m (221). The density of states at the Fermi level comes out at 1.220 states/eV/atom.

The following is a PBE calculation of crystalline Tc2PbCl at its relaxed geometry, from Alexandria via LeMat-Bulk.

Cell lengths 2.997, 5.256, 4.661 Å; angles 90.00, 90.00, 90.00 degrees
Last column: magnetic moment on the atom in μB.
Fractional positions:
Pb: 0.000 0.500 0.500  -0.01
Tc: 0.000 0.000 0.000  1.52
Tc: 0.500 0.500 0.000  0.50
Cl: 0.500 0.000 0.500  0.01

## Properties
The total energy is -5.713 eV per atom. The total magnetization is 2.25 μB/f.u. The symmetry is Pmmm (47). The density of states at the Fermi level comes out at 0.919 states/eV/atom.

The following is a PBE calculation of crystalline TcPb3Cl at its relaxed geometry, from Alexandria via LeMat-Bulk.

Cell lengths 5.307, 5.307, 5.307 Å; angles 90.00, 90.00, 90.00 degrees
Fractional positions:
Tc: 0.000 0.000 0.000
Cl: 0.500 0.500 0.500
Pb: 0.000 0.000 0.500
Pb: 0.500 0.000 0.000
Pb: 0.000 0.500 0.000

## Properties
The total energy is -4.768 eV per atom. The total magnetization is 0.00 μB/f.u. The symmetry is Pm-3m (221). The density of states at the Fermi level comes out at 0.000 states/eV/atom.